{"formula": "GaHgP2O", "functional": "GGA-PBE", "state": "optimized geometry", "total_energy_ev_per_cell": -17.5, "e_form_raw_ev_per_fu": 1.640, "spacegroup": "P4/mmm", "de_polymorph_mev_per_atom": 0, "lattice_angstrom": [[5.0231, 0.0000, 0.0000], [0.0000, 5.0231, 0.0000], [0.0000, 0.0000, 3.5919]], "species": ["Ga", "Hg", "P", "P", "O"], "frac_coords": [[0.0000, 0.0000, 0.0000], [0.5000, 0.5000, 0.5000], [0.0000, 0.5000, 0.0000], [0.5000, 0.0000, 0.0000], [0.0000, 0.0000, 0.5000]]}

{"formula": "Ac3NiAg3", "functional": "GGA-PBE", "state": "optimized geometry", "total_energy_ev_per_cell": -28.5, "spacegroup": "Imm2", "lattice_angstrom": [[-2.1145, 2.4108, 9.9368], [2.1145, -2.4108, 9.9368], [2.1145, 2.4108, -9.9368]], "species": ["Ac", "Ac", "Ac", "Ni", "Ag", "Ag", "Ag"], "frac_coords": [[0.0000, 0.0000, 0.0000], [0.3589, 0.3589, 0.0000], [0.6903, 0.1903, 0.5000], [0.2563, 0.7563, 0.5000], [0.1264, 0.6264, 0.5000], [0.5429, 0.5429, 0.0000], [0.8223, 0.8223, 0.0000]]}

{"formula": "K2PdS", "functional": "GGA-PBE", "state": "optimized geometry", "total_energy_ev_per_cell": -23.0, "e_form_raw_ev_per_fu": -0.003, "spacegroup": "I-42d", "lattice_angstrom": [[-2.3235, 2.3235, 10.1567], [2.3235, -2.3235, 10.1567], [2.3235, 2.3235, -10.1567]], "species": ["K", "K", "K", "K", "Pd", "Pd", "S", "S"], "frac_coords": [[0.1220, 0.6250, 0.9970], [0.3750, 0.3720, 0.4970], [0.6280, 0.1250, 0.0030], [0.8750, 0.8780, 0.5030], [0.2500, 0.7500, 0.5000], [0.5000, 0.5000, 0.0000], [0.0000, 0.0000, 0.0000], [0.7500, 0.2500, 0.5000]]}

{"formula": "PrScSi", "functional": "GGA-PBE", "state": "optimized geometry", "total_energy_ev_per_cell": -17.8, "e_form_raw_ev_per_fu": -1.254, "spacegroup": "F-43m", "de_polymorph_mev_per_atom": 196, "lattice_angstrom": [[0.0000, 3.4085, 3.4085], [3.4085, 0.0000, 3.4085], [3.4085, 3.4085, 0.0000]], "species": ["Pr", "Sc", "Si"], "frac_coords": [[0.0000, 0.0000, 0.0000], [0.5000, 0.5000, 0.5000], [0.2500, 0.2500, 0.2500]]}

{"formula": "Li2CaAs", "functional": "GGA-PBE", "state": "optimized geometry", "total_energy_ev_per_cell": -13.1, "spacegroup": "R3m", "lattice_angstrom": [[2.1772, 1.2570, 5.1987], [-2.1772, 1.2570, 5.1987], [0.0000, -2.5140, 5.1987]], "species": ["Li", "Li", "Ca", "As"], "frac_coords": [[0.0000, 0.0000, 0.0000], [0.2799, 0.2799, 0.2799], [0.4738, 0.4738, 0.4738], [0.6794, 0.6794, 0.6794]]}

{"formula": "LaZrBe2", "functional": "GGA-PBE", "state": "optimized geometry", "total_energy_ev_per_cell": -20.0, "spacegroup": "Fm-3m", "de_polymorph_mev_per_atom": 160, "lattice_angstrom": [[0.0000, 3.3759, 3.3759], [3.3759, 0.0000, 3.3759], [3.3759, 3.3759, 0.0000]], "species": ["La", "Zr", "Be", "Be"], "frac_coords": [[0.0000, 0.0000, 0.0000], [0.5000, 0.5000, 0.5000], [0.2500, 0.2500, 0.2500], [0.7500, 0.7500, 0.7500]]}

{"formula": "NbRePO2", "functional": "GGA-PBE", "state": "optimized geometry", "total_energy_ev_per_cell": -40.3, "e_form_raw_ev_per_fu": -2.429, "spacegroup": "P4/mmm", "de_polymorph_mev_per_atom": 0, "lattice_angstrom": [[3.7526, 0.0000, 0.0000], [0.0000, 3.7526, 0.0000], [0.0000, 0.0000, 5.4487]], "species": ["Nb", "Re", "P", "O", "O"], "frac_coords": [[0.0000, 0.0000, 0.0000], [0.5000, 0.5000, 0.5000], [0.5000, 0.5000, 0.0000], [0.0000, 0.5000, 0.5000], [0.5000, 0.0000, 0.5000]]}

{"formula": "CaYAs3", "functional": "GGA-PBE", "state": "optimized geometry", "total_energy_ev_per_cell": -21.7, "spacegroup": "Pm-3m", "de_polymorph_mev_per_atom": 386, "lattice_angstrom": [[5.1926, 0.0000, 0.0000], [0.0000, 5.1926, 0.0000], [0.0000, 0.0000, 5.1926]], "species": ["Ca", "Y", "As", "As", "As"], "frac_coords": [[0.0000, 0.0000, 0.0000], [0.5000, 0.5000, 0.5000], [0.0000, 0.0000, 0.5000], [0.0000, 0.5000, 0.0000], [0.5000, 0.0000, 0.0000]]}

{"formula": "KNiSe", "functional": "GGA-PBE", "state": "optimized geometry", "total_energy_ev_per_cell": -11.2, "e_form_raw_ev_per_fu": -0.789, "spacegroup": "I4mm", "lattice_angstrom": [[-1.7407, 1.7407, 5.7107], [1.7407, -1.7407, 5.7107], [1.7407, 1.7407, -5.7107]], "species": ["K", "Ni", "Se"], "frac_coords": [[0.0000, 0.0000, 0.0000], [0.7387, 0.7387, 0.0000], [0.2750, 0.2750, 0.0000]]}

{"formula": "NaZnGa2Co", "functional": "GGA-PBE", "state": "optimized geometry", "total_energy_ev_per_cell": -16.4, "spacegroup": "P4/mmm", "lattice_angstrom": [[4.5466, 0.0000, 0.0000], [0.0000, 4.5466, 0.0000], [0.0000, 0.0000, 4.7112]], "species": ["Na", "Zn", "Ga", "Ga", "Co"], "frac_coords": [[0.0000, 0.0000, 0.0000], [0.5000, 0.5000, 0.0000], [0.0000, 0.5000, 0.5000], [0.5000, 0.0000, 0.5000], [0.5000, 0.5000, 0.5000]]}